Here is a geometry-optimized Nd2P4Pt3Rh structure from Alexandria. Energies are from PBE.

Output
The calculated formation energy comes out at -1010 meV/atom. The calculation puts the energy at -0.49058 Ry per atom.

Geometry as CIF:
```
data_Nd2P4Pt3Rh
_chemical_formula_sum 'Nd2 P4 Pt3 Rh1'
_cell_length_a 4.284
_cell_length_b 4.284
_cell_length_c 9.582
_cell_angle_alpha 90.00
_cell_angle_beta 90.00
_cell_angle_gamma 90.00
_space_group_name_H-M_alt 'P -4 m 2'
_space_group_IT_number 115
_space_group_name_Hall 'P -4 -2'
loop_
_atom_site_label
_atom_site_fract_x
_atom_site_fract_y
_atom_site_fract_z
_atom_site_occupancy
Nd1 0.000 0.500 0.247 1
P1 0.000 0.000 0.000 1
P2 0.000 0.500 0.631 1
P3 0.500 0.500 0.000 1
Pt1 0.000 0.500 0.882 1
Pt2 0.500 0.500 0.500 1
Rh1 0.000 0.000 0.500 1
```